# Si3BRu (SCAN, single point on PBEsol structure)
data_Si3BRu
_cell_length_a 4.514
_cell_length_b 4.514
_cell_length_c 4.514
_cell_angle_alpha 90.00
_cell_angle_beta 90.00
_cell_angle_gamma 90.00
_space_group_name_H-M_alt 'P m -3 m'
_space_group_IT_number 221
_space_group_name_Hall '-P 4 2 3'
loop_
_atom_site_label
_atom_site_fract_x
_atom_site_fract_y
_atom_site_fract_z
_atom_site_occupancy
Si1 0.000 0.000 0.500 1
B1 0.500 0.500 0.500 1
Ru1 0.000 0.000 0.000 1
# E_tot, eV/atom: -13.21
# Crystal system: cubic
# Formation energy (no corrections), kcal/mol of atoms: 28.80